A plane-wave DFT calculation with PBEsol was carried out for a relaxed structure of SiTc2Rh.

a = 2.7394 Å, b = 2.7394 Å, c = 24.8006 Å
α = 90.00°, β = 90.00°, γ = 120.00°
Space group R3m (No. 160, hexagonal axes)
One atom of each set of equivalent atoms:
Si: 0.0000 0.0000 0.0000 (multiplicity 3)
Tc: 0.0000 0.0000 0.4990 (multiplicity 3)
Tc: 0.0000 0.0000 0.7486 (multiplicity 3)
Rh: 0.0000 0.0000 0.2583 (multiplicity 3)

Calculated values
The calculation puts the formation energy (no corrections) at -0.268 eV/atom. The uncorrected energy comes out at -112.5 eV/cell.

A plane-wave DFT calculation with PBEsol was carried out for a relaxed structure of SiTc2Rh.

a = 2.8708 Å, b = 4.3154 Å, c = 8.5426 Å
α = 90.00°, β = 90.00°, γ = 90.00°
Space group Imm2 (No. 44)
One atom of each set of equivalent atoms:
Si: 0.0000 0.0000 0.0000 (multiplicity 2)
Tc: 0.0000 0.0000 0.4984 (multiplicity 2)
Tc: 0.0000 0.5000 0.7302 (multiplicity 2)
Rh: 0.0000 0.5000 0.2795 (multiplicity 2)

Calculated values
The calculation puts the formation energy (no corrections) at -0.357 eV/atom. The uncorrected energy comes out at -75.7 eV/cell.

Which formula does entry 2 have? SiTc2Rh

Which formula does entry 1 have? SiTc2Rh